No. 1
{
  "formula": "SrCdF2",
  "functional": "SCAN",
  "state": "PBEsol geometry",
  "vol_a3_per_cell": 70.3,
  "space_group": "Fm-3m (225)",
  "n_ef_per_ev_atom": 0.00,
  "e_form_raw_ev_per_fu": -9.66,
  "final_energy_ev_per_cell": -69.43,
  "cell": [[-3.8329, -0.3521, 2.5769], [-2.8449, -3.6119, -0.5620], [-0.2911, -3.2520, 3.2856]],
  "species": ["F", "F", "Cd", "Sr"],
  "frac_coords": [[0.2500, 0.2500, 0.2500], [0.7500, 0.7500, 0.7500], [0.5000, 0.5000, 0.5000], [0.0000, 0.0000, 0.0000]]
}



No. 2
{
  "formula": "GaHgP2",
  "functional": "SCAN",
  "state": "PBEsol geometry",
  "ef_ev_per_fu": 2.9,
  "vol_a3_per_cell": 70.7,
  "space_group": "Fm-3m (225)",
  "n_ef_per_ev_atom": 0.52,
  "final_energy_ev_per_cell": -102.37,
  "cell": [[4.6405, 0.0000, 0.0000], [2.3203, 4.0188, 0.0000], [2.3203, 1.3396, 3.7890]],
  "species": ["Hg", "P", "P", "Ga"],
  "frac_coords": [[0.5000, 0.5000, 0.5000], [0.2500, 0.2500, 0.2500], [0.7500, 0.7500, 0.7500], [0.0000, 0.0000, 0.0000]]
}



No. 3
{
  "formula": "Li2NiP2O7",
  "functional": "SCAN",
  "state": "PBEsol geometry",
  "vol_a3_per_cell": 281.5,
  "space_group": "Imma (74)",
  "de_polymorph_mev_per_atom": 85,
  "e_form_raw_ev_per_fu": -27.42,
  "final_energy_ev_per_cell": -225.58,
  "cell": [[-2.5248, 5.3064, -3.5828], [-0.1610, -3.5977, -5.2150], [-4.6587, -2.7171, 5.8693]],
  "species": ["O", "O", "O", "O", "O", "O", "O", "O", "O", "O", "O", "O", "O", "O", "Ni", "Ni", "Li", "Li", "Li", "Li", "P", "P", "P", "P"],
  "frac_coords": [[0.2146, 0.4406, 0.2875], [0.9243, 0.2500, 0.5000], [0.2146, 0.8469, 0.2875], [0.4271, 0.0594, 0.7125], [0.7532, 0.0550, 0.1101], [0.7854, 0.1531, 0.7125], [0.7854, 0.5594, 0.7125], [0.5729, 0.9406, 0.2875], [0.0757, 0.7500, 0.5000], [0.2468, 0.9450, 0.8899], [0.1432, 0.4450, 0.8899], [0.5729, 0.3469, 0.2875], [0.4271, 0.6531, 0.7125], [0.8568, 0.5550, 0.1101], [0.5000, 0.0000, 0.5000], [0.5000, 0.5000, 0.5000], [0.7242, 0.7242, 0.9485], [0.2758, 0.7758, 0.0515], [0.7242, 0.2242, 0.9485], [0.2758, 0.2758, 0.0515], [0.9119, 0.3572, 0.7145], [0.3026, 0.8572, 0.7145], [0.6974, 0.1428, 0.2855], [0.0881, 0.6428, 0.2855]]
}